{
  "formula": "Sm3CdAg4",
  "functional": "GGA-PBE",
  "state": "relaxed",
  "lattice": [[3.8486, 0.0000, 0.0000], [0.0000, 7.3340, 0.0000], [-1.9243, -3.6670, 7.4777]],
  "species": ["Ag", "Ag", "Ag", "Ag", "Sm", "Sm", "Sm", "Cd"],
  "frac_coords": [[0.3691, 0.1744, 0.7381], [0.6309, 0.4363, 0.2619], [0.6309, 0.8256, 0.2619], [0.3691, 0.5637, 0.7381], [0.8108, 0.8108, 0.6216], [0.0000, 0.5000, 0.0000], [0.1892, 0.1892, 0.3784], [0.5000, 0.0000, 0.0000]],
  "crystal_system": "orthorhombic",
  "formation_energy_ev_per_fu": -0.860,
  "spacegroup": "Immm (71)"
}

{
  "formula": "LaTcCl2",
  "functional": "GGA-PBE",
  "state": "relaxed",
  "lattice": [[-3.1573, -2.7751, -2.4288], [5.2281, -1.6622, -0.2309], [0.6996, -3.3480, 2.5445]],
  "species": ["La", "Cl", "Cl", "Tc"],
  "frac_coords": [[0.0000, 0.5000, 0.5000], [0.5000, 0.0000, 0.5000], [0.0000, 0.0000, 0.0000], [0.5000, 0.5000, 0.0000]],
  "crystal_system": "monoclinic",
  "spacegroup": "C2/m (12)",
  "formation_energy_uncorrected_mev_per_atom": -462
}

Number 1: calculated volume 211.1 Å³/cell. Number 2: calculated volume 92.8 Å³/cell.